Entry 1:
BaGdTlSn | PBE | optimized geometry

- formation energy from the elements (eV per formula unit) = -1.61
- space-group type = No. 216

```
data_BaGdTlSn
_space_group_name_H-M_alt 'P 1'
_space_group_IT_number 1
_space_group_name_Hall 'P 1'
_cell_length_a 5.7164
_cell_length_b 5.7164
_cell_length_c 5.7164
_cell_angle_alpha 60.00
_cell_angle_beta 60.00
_cell_angle_gamma 60.00
loop_
_atom_site_label
_atom_site_type_symbol
_atom_site_fract_x
_atom_site_fract_y
_atom_site_fract_z
_atom_site_occupancy
Sn1 Sn 0.5000 0.5000 0.5000 1
Tl1 Tl 0.0000 0.0000 0.0000 1
Ba1 Ba 0.2500 0.2500 0.2500 1
Gd1 Gd 0.7500 0.7500 0.7500 1
```

Entry 2:
LiCr2Os | PBE | optimized geometry

- formation energy from the elements (eV per formula unit) = 1.16
- space-group type = No. 10

```
data_LiCr2Os
_space_group_name_H-M_alt 'P 1'
_space_group_IT_number 1
_space_group_name_Hall 'P 1'
_cell_length_a 4.2008
_cell_length_b 2.4948
_cell_length_c 4.8023
_cell_angle_alpha 79.24
_cell_angle_beta 90.00
_cell_angle_gamma 90.00
loop_
_atom_site_label
_atom_site_type_symbol
_atom_site_fract_x
_atom_site_fract_y
_atom_site_fract_z
_atom_site_occupancy
Os1 Os 0.5000 0.7500 0.7500 1
Cr1 Cr 0.0000 0.9925 0.0074 1
Cr2 Cr 0.0000 0.5075 0.4926 1
Li1 Li 0.5000 0.2500 0.2500 1
```

Entry 3:
SrAcAs2Pd5 | PBE | optimized geometry

- formation energy from the elements (eV per formula unit) = -6.57
- space-group type = No. 123

```
data_SrAcAs2Pd5
_space_group_name_H-M_alt 'P 1'
_space_group_IT_number 1
_space_group_name_Hall 'P 1'
_cell_length_a 4.6852
_cell_length_b 4.6852
_cell_length_c 8.5615
_cell_angle_alpha 90.00
_cell_angle_beta 90.00
_cell_angle_gamma 90.00
loop_
_atom_site_label
_atom_site_type_symbol
_atom_site_fract_x
_atom_site_fract_y
_atom_site_fract_z
_atom_site_occupancy
As1 As 0.5000 0.5000 0.8219 1
As2 As 0.5000 0.5000 0.1781 1
Pd1 Pd 0.5000 0.0000 0.2698 1
Pd2 Pd 0.0000 0.5000 0.7302 1
Pd3 Pd 0.0000 0.5000 0.2698 1
Pd4 Pd 0.5000 0.5000 0.5000 1
Pd5 Pd 0.5000 0.0000 0.7302 1
Sr1 Sr 0.0000 0.0000 0.5000 1
Ac1 Ac 0.0000 0.0000 0.0000 1
```